Here is Sr4HgO after structural relaxation from Alexandria via LeMat-Bulk. Energies are from PBE.

Geometry as CIF:
```
data_Sr4HgO
_space_group_name_H-M_alt 'P 1 21/m 1'
_space_group_IT_number 11
_space_group_name_Hall '-P 2yb'
_cell_length_a 6.7963
_cell_length_b 10.2141
_cell_length_c 7.0605
_cell_angle_alpha 90.00
_cell_angle_beta 101.92
_cell_angle_gamma 90.00
loop_
_atom_site_label
_atom_site_fract_x
_atom_site_fract_y
_atom_site_fract_z
Sr1 0.1578 0.2500 0.2994
Sr2 0.2552 0.0617 0.7980
Sr3 0.3195 0.7500 0.3484
Hg1 0.3852 0.7500 0.8612
O1 0.3277 0.2500 0.6241
```

Here is SrHg3O after structural relaxation from Alexandria via LeMat-Bulk. Energies are from PBE.

Geometry as CIF:
```
data_SrHg3O
_space_group_name_H-M_alt 'P m -3 m'
_space_group_IT_number 221
_space_group_name_Hall '-P 4 2 3'
_cell_length_a 5.0904
_cell_length_b 5.0904
_cell_length_c 5.0904
_cell_angle_alpha 90.00
_cell_angle_beta 90.00
_cell_angle_gamma 90.00
loop_
_atom_site_label
_atom_site_fract_x
_atom_site_fract_y
_atom_site_fract_z
Sr1 0.0000 0.0000 0.0000
Hg1 0.0000 0.5000 0.5000
O1 0.5000 0.5000 0.5000
```

VASP energy values, unit eV per atom, following the record order: -3.0488 -1.6046.
E_form (uncorrected) values, unit meV/atom, following the record order: -1050.9 -95.5.
Density of states at the Fermi level values, unit states/eV/atom, following the record order: 0.66 0.60.